# 1
This record from Alexandria describes a relaxed structure of Li2TaV2S6. The functional is PBE-GGA.

a = 5.811 Å, b = 5.811 Å, c = 6.575 Å
α = 97.22°, β = 97.22°, γ = 120.65°
Sites, in units of the cell vectors:
Li 0.172 0.828 0.000
Li 0.828 0.172 0.000
Ta 0.000 0.000 0.500
V 0.365 0.635 0.500
V 0.635 0.365 0.500
S 0.061 0.412 0.720
S 0.264 0.264 0.249
S 0.412 0.061 0.720
S 0.588 0.939 0.280
S 0.736 0.736 0.751
S 0.939 0.588 0.280

Properties
V	16.80	Å³/atom
energy relative to the elements, uncorrected	-1077	meV/atom
space-group type	C2/m
density of states at the Fermi level	4.61	states/eV/f.u.
size of the total moment	0.0	Bohr magnetons per cell
crystal system	monoclinic

---

# 2
This record from Alexandria describes a relaxed structure of LaAgH6Pt. The functional is PBE-GGA.

a = 4.853 Å, b = 4.853 Å, c = 4.486 Å
α = 90.00°, β = 90.00°, γ = 120.00°
Sites, in units of the cell vectors:
La 0.000 0.000 0.000
Ag 0.333 0.667 0.500
H 0.515 0.030 0.226
H 0.515 0.030 0.774
H 0.515 0.485 0.226
H 0.515 0.485 0.774
H 0.970 0.485 0.226
H 0.970 0.485 0.774
Pt 0.667 0.333 0.500

Properties
V	10.17	Å³/atom
space-group type	P-6m2
density of states at the Fermi level	2.88	states/eV/f.u.
size of the total moment	0.0	Bohr magnetons per cell
crystal system	hexagonal
calculated total energy	-3.985	eV/atom

---

# 3
This record from Alexandria describes a relaxed structure of Cu12Pd3Pt. The functional is PBE-GGA.

a = 3.718 Å, b = 3.718 Å, c = 14.832 Å
α = 90.00°, β = 90.00°, γ = 90.00°
Sites, in units of the cell vectors:
Cu 0.000 0.000 0.000
Cu 0.000 0.000 0.250
Cu 0.000 0.000 0.500
Cu 0.000 0.000 0.750
Cu 0.000 0.500 0.125
Cu 0.000 0.500 0.375
Cu 0.000 0.500 0.625
Cu 0.000 0.500 0.875
Cu 0.500 0.000 0.125
Cu 0.500 0.000 0.375
Cu 0.500 0.000 0.625
Cu 0.500 0.000 0.875
Pd 0.500 0.500 0.000
Pd 0.500 0.500 0.250
Pd 0.500 0.500 0.750
Pt 0.500 0.500 0.500

Properties
V	12.81	Å³/atom
space-group type	P4/mmm
density of states at the Fermi level	5.02	states/eV/f.u.
size of the total moment	0.0	Bohr magnetons per cell
DFT formation energy	-0.116	eV per atom
crystal system	tetragonal